Entry 1:
# TaSiNi

A relaxed TaSiNi crystal (PBE, the Alexandria database).

Cell: 3.6942 6.2230 7.0745 Å, 90.00 90.00 90.00°
Element x y z (fractional)
Ni: 0.7500 0.8442 0.5696
Ni: 0.2500 0.1558 0.4304
Ni: 0.7500 0.3442 0.9304
Ni: 0.2500 0.6558 0.0696
Si: 0.7500 0.7184 0.8842
Si: 0.2500 0.7816 0.3842
Si: 0.2500 0.2816 0.1158
Si: 0.7500 0.2184 0.6158
Ta: 0.2500 0.5175 0.6763
Ta: 0.2500 0.0175 0.8237
Ta: 0.7500 0.9825 0.1763
Ta: 0.7500 0.4825 0.3237

Formation energy (no corrections) = -0.6902 eV per atom

Entry 2:
# Rb2IrCl5

A relaxed Rb2IrCl5 crystal (PBE, the Alexandria database).

Cell: 7.0010 9.0981 14.6027 Å, 90.00 90.00 90.00°
Element x y z (fractional)
Rb: 0.7500 0.5347 0.2998
Rb: 0.2500 0.4652 0.7002
Rb: 0.2500 0.9652 0.7998
Rb: 0.7500 0.0348 0.2002
Rb: 0.7500 0.8276 0.5835
Rb: 0.2500 0.1724 0.4165
Rb: 0.2500 0.6724 0.0835
Rb: 0.7500 0.3276 0.9165
Ir: 0.7500 0.8296 0.9425
Ir: 0.2500 0.1704 0.0575
Ir: 0.2500 0.6704 0.4425
Ir: 0.7500 0.3296 0.5575
Cl: 0.7500 0.7073 0.0881
Cl: 0.2500 0.2927 0.9119
Cl: 0.2500 0.7927 0.5881
Cl: 0.7500 0.2073 0.4119
Cl: 0.5144 0.6726 0.8888
Cl: 0.4856 0.3274 0.1112
Cl: 0.4856 0.8274 0.3888
Cl: 0.0144 0.3274 0.1112
Cl: 0.5144 0.1726 0.6112
Cl: 0.9856 0.6726 0.8888
Cl: 0.9856 0.1726 0.6112
Cl: 0.0144 0.8274 0.3888
Cl: 0.5000 0.0000 0.0000
Cl: 0.5000 0.5000 0.5000
Cl: 0.0000 0.0000 0.0000
Cl: 0.0000 0.5000 0.5000
Cl: 0.7500 0.9593 0.8030
Cl: 0.2500 0.0407 0.1970
Cl: 0.2500 0.5407 0.3030
Cl: 0.7500 0.4593 0.6970

Formation energy (no corrections) = -1.1896 eV per atom
Polymorph energy (0 for the lowest one) = 0 kJ/mol of formula units

Entry 3:
# NbCu3Cl

A relaxed NbCu3Cl crystal (PBE, the Alexandria database).

Cell: 4.3960 4.3960 4.3960 Å, 90.00 90.00 90.00°
Each line ends with the local moment (μB).
Element x y z (fractional)
Nb: 0.5000 0.5000 0.5000  1.52
Cu: 0.0000 0.5000 0.0000  0.03
Cu: 0.0000 0.0000 0.5000  0.06
Cu: 0.5000 0.0000 0.0000  0.04
Cl: 0.0000 0.0000 0.0000  0.08

Formation energy (no corrections) = 1.1360 eV per atom
Polymorph energy (0 for the lowest one) = 0 kJ/mol of formula units

Entry 4:
# La2SmYTm2

A relaxed La2SmYTm2 crystal (PBE, the Alexandria database).

Cell: 5.7687 6.3610 11.0286 Å, 90.00 90.00 90.00°
Element x y z (fractional)
La: 0.5000 0.1739 0.0843
La: 0.0000 0.3392 0.2499
La: 0.5000 0.6739 0.9157
La: 0.0000 0.8392 0.7501
Sm: 0.5000 0.1762 0.7457
Sm: 0.5000 0.6762 0.2543
Y: 0.0000 0.8407 0.4188
Y: 0.0000 0.3407 0.5812
Tm: 0.0000 0.3419 0.9152
Tm: 0.5000 0.1737 0.4212
Tm: 0.0000 0.8419 0.0848
Tm: 0.5000 0.6737 0.5788

Formation energy = 0.033 eV per atom

Entry 5:
# Sm7Dy2Tm2

A relaxed Sm7Dy2Tm2 crystal (PBE, the Alexandria database).

Cell: 6.8546 9.5879 6.8546 Å, 90.00 122.32 90.00°
Element x y z (fractional)
Sm: 0.9998 0.3145 0.5003
Sm: 0.5003 0.6855 0.9998
Sm: 0.0002 0.6855 0.4997
Sm: 0.4997 0.3145 0.0002
Sm: 0.0000 0.0000 0.0000
Sm: 0.5002 0.8166 0.4998
Sm: 0.4998 0.1834 0.5002
Dy: 0.7497 0.5000 0.7497
Dy: 0.2503 0.5000 0.2503
Tm: 0.7291 0.0000 0.2709
Tm: 0.2709 0.0000 0.7291

Polymorph energy (0 for the lowest one) = 246 kJ/mol of formula units
Formation energy = 0.346 eV per atom

Entry 6:
# Y2ZnNi

A relaxed Y2ZnNi crystal (PBE, the Alexandria database).

Cell: 3.3905 3.3899 7.5982 Å, 90.00 90.00 90.00°
Element x y z (fractional)
Ni: 0.5000 0.5000 0.7030
Y: 0.0000 0.0000 0.9312
Y: 0.5000 0.5000 0.3103
Zn: 0.0000 0.0000 0.5556

Formation energy = -0.178 eV per atom

Number 1: magnetization 0.00 μB/f.u., total DFT energy (no corrections) -25.13 eV per formula unit. Number 2: magnetization 0.00 μB/f.u., total DFT energy (no corrections) -29.55 eV per formula unit. Number 3: magnetization 2.19 μB/f.u., total DFT energy (no corrections) -18.52 eV per formula unit. Number 4: magnetization 0.00 μB/f.u., total DFT energy (no corrections) -29.79 eV per formula unit. Number 5: magnetization 0.00 μB/f.u., total DFT energy (no corrections) -47.37 eV per formula unit. Number 6: magnetization 0.04 μB/f.u., total DFT energy (no corrections) -20.69 eV per formula unit.